First-principles (GGA-PBE) data for a relaxed structure of Pm8PdPt5, as listed in Alexandria.

POSCAR file:
```
Pm8PdPt5
1.0
-4.5271 -6.1158 1.5733
7.4612 -2.1078 0.5103
-1.4363 5.6799 5.1039
Pm Pd Pt
8 1 5
Direct
0.1262 0.7523 0.9989 Pm
0.0011 0.1273 0.7534 Pm
0.7424 0.2474 0.3707 Pm
0.6293 0.3717 0.8767 Pm
0.5049 0.6283 0.2576 Pm
0.6261 0.8727 0.8738 Pm
0.2466 0.2477 0.3739 Pm
0.1233 0.7526 0.4951 Pm
0.2500 0.5000 0.7500 Pd
0.0038 0.3764 0.1269 Pt
0.8731 0.8768 0.2495 Pt
0.7505 0.6236 0.6274 Pt
0.5000 0.0000 0.5000 Pt
0.3726 0.1232 0.9962 Pt
```

Values from the calculation:
ΔE_f = -0.94 eV/atom
theoretical density = 10.31 g cm⁻³